[1]
## MgZrGa4 (PBE)

Data for a relaxed MgZrGa4 crystal.

a = 5.3387 Å, b = 5.3387 Å, c = 5.3387 Å
α = 60.00°, β = 60.00°, γ = 60.00°
Closest atoms and distances in Å follow each position.
Fractional positions:
Ga 0.6253 0.6253 0.6253  6 Ga 2.66-2.68
Ga 0.1242 0.6253 0.6253  6 Ga 2.66-2.68
Mg 0.2500 0.2500 0.2500  12 Ga 3.13, 4 Zr 3.27
Zr 0.0000 0.0000 0.0000  12 Ga 3.13, 4 Mg 3.27
Ga 0.6253 0.1242 0.6253  6 Ga 2.66-2.68
Ga 0.6253 0.6253 0.1242  6 Ga 2.66-2.68

Properties
For the density, the calculation gives 6.1 g/cm³. Its symmetry is F-43m (216). The energy of formation from the pure elements is -0.198 eV per atom. The density of states at the Fermi level is 4.617 states/eV/cell. The value obtained for the total energy is -3.907 eV/atom.

---

[2]
## MgZrGa2 (PBE)

Data for a relaxed MgZrGa2 crystal.

a = 3.2446 Å, b = 3.2446 Å, c = 7.0940 Å
α = 90.00°, β = 90.00°, γ = 90.00°
Closest atoms and distances in Å follow each position.
Fractional positions:
Zr 0.5000 0.5000 0.5000  8 Ga 2.95, 4 Zr 3.24
Ga 0.0000 0.0000 0.7609  4 Mg 2.85, 4 Zr 2.95
Ga 0.0000 0.0000 0.2391  4 Mg 2.85, 4 Zr 2.95
Mg 0.5000 0.5000 0.0000  8 Ga 2.85

Properties
For the density, the calculation gives 5.7 g/cm³. Its symmetry is P4/mmm (123). The energy of formation from the pure elements is -0.321 eV per atom. The density of states at the Fermi level is 1.101 states/eV/cell. The value obtained for the total energy is -4.370 eV/atom.

---

[3]
## MgZr2Ga3 (PBE)

Data for a relaxed MgZr2Ga3 crystal.

a = 5.2939 Å, b = 6.0691 Å, c = 8.1898 Å
α = 111.73°, β = 108.86°, γ = 90.00°
Closest atoms and distances in Å follow each position.
Fractional positions:
Zr 0.6642 0.1641 0.3284  8 Ga 2.91-3.06, 2 Zr 3.03, 2 Mg 3.12
Ga 0.8364 0.5881 0.6764  1 Mg 2.62, 1 Ga 2.73, 2 Zr 2.91
Zr 0.3358 0.3359 0.6716  8 Ga 2.91-3.06, 2 Zr 3.03, 2 Mg 3.12
Ga 0.7252 0.2500 0.0000  2 Mg 2.59-2.71, 2 Ga 2.73
Zr 0.3358 0.8359 0.6716  8 Ga 2.91-3.06, 2 Zr 3.03, 2 Mg 3.12
Ga 0.1636 0.4119 0.3236  1 Mg 2.62, 1 Ga 2.73, 2 Zr 2.91
Ga 0.8399 0.0881 0.6764  1 Mg 2.62, 1 Ga 2.73, 2 Zr 2.91
Zr 0.6642 0.6641 0.3284  8 Ga 2.91-3.06, 2 Zr 3.03, 2 Mg 3.12
Mg 0.2369 0.2500 0.0000  4 Ga 2.59-2.71
Mg 0.7631 0.7500 0.0000  4 Ga 2.59-2.71
Ga 0.2748 0.7500 0.0000  2 Mg 2.59-2.71, 2 Ga 2.73
Ga 0.1601 0.9119 0.3236  1 Mg 2.62, 1 Ga 2.73, 2 Zr 2.91

Properties
For the density, the calculation gives 6.0 g/cm³. Its symmetry is Imma (74). The energy of formation from the pure elements is -0.339 eV per atom. The density of states at the Fermi level is 7.730 states/eV/cell. The value obtained for the total energy is -4.968 eV/atom.

---

[4]
## Mg2ZrGa2 (PBE)

Data for a relaxed Mg2ZrGa2 crystal.

a = 7.7871 Å, b = 7.7871 Å, c = 3.2208 Å
α = 90.00°, β = 90.00°, γ = 90.00°
Closest atoms and distances in Å follow each position.
Fractional positions:
Ga 0.8572 0.6428 0.0000  6 Mg 2.73-2.84, 2 Zr 3.00
Ga 0.1428 0.3572 0.0000  6 Mg 2.73-2.84, 2 Zr 3.00
Mg 0.1571 0.6571 0.5000  6 Ga 2.73-2.84
Mg 0.6571 0.8429 0.5000  6 Ga 2.73-2.84
Mg 0.8429 0.3429 0.5000  6 Ga 2.73-2.84
Zr 0.5000 0.5000 0.0000  4 Ga 3.00, 2 Zr 3.22, 8 Mg 3.35
Mg 0.3429 0.1571 0.5000  6 Ga 2.73-2.84
Ga 0.6428 0.1428 0.0000  6 Mg 2.73-2.84, 2 Zr 3.00
Ga 0.3572 0.8572 0.0000  6 Mg 2.73-2.84, 2 Zr 3.00
Zr 0.0000 0.0000 0.0000  4 Ga 3.00, 2 Zr 3.22, 8 Mg 3.35

Properties
For the density, the calculation gives 4.7 g/cm³. Its symmetry is P4/mbm (127). The value obtained for the offset from the most stable computed form is 0 meV/atom. The energy of formation from the pure elements is -0.185 eV per atom. The density of states at the Fermi level is 3.712 states/eV/cell. The value obtained for the total energy is -3.743 eV/atom.

---

[5]
## Mg2ZrGa2 (PBE)

Data for a relaxed Mg2ZrGa2 crystal.

a = 4.0500 Å, b = 4.0500 Å, c = 6.5933 Å
α = 72.11°, β = 72.11°, γ = 90.00°
Closest atoms and distances in Å follow each position.
Fractional positions:
Mg 0.7500 0.2500 0.5000  4 Ga 2.70, 4 Mg 2.86
Ga 0.4009 0.4009 0.1983  1 Ga 2.35
Zr 0.0000 0.0000 0.0000  8 Ga 3.10
Ga 0.5991 0.5991 0.8017  1 Ga 2.35
Mg 0.2500 0.7500 0.5000  4 Ga 2.70, 4 Mg 2.86

Properties
For the density, the calculation gives 4.8 g/cm³. Its symmetry is I4/mmm (139). The value obtained for the offset from the most stable computed form is 8 meV/atom. The energy of formation from the pure elements is -0.178 eV per atom. The density of states at the Fermi level is 2.341 states/eV/cell. The value obtained for the total energy is -3.736 eV/atom.

---

[6]
## Mg2ZrGa2 (PBE)

Data for a relaxed Mg2ZrGa2 crystal.

a = 7.9233 Å, b = 7.9233 Å, c = 3.0517 Å
α = 90.00°, β = 90.00°, γ = 90.00°
Closest atoms and distances in Å follow each position.
Fractional positions:
Ga 0.8254 0.3254 0.5000  6 Mg 2.71-2.85
Ga 0.6746 0.8254 0.5000  6 Mg 2.71-2.85
Zr 0.5000 0.5000 0.0000  2 Zr 3.05, 4 Mg 3.13, 8 Ga 3.30
Ga 0.1746 0.6746 0.5000  6 Mg 2.71-2.85
Mg 0.1255 0.3745 0.0000  6 Ga 2.71-2.85, 1 Mg 2.81
Ga 0.3254 0.1746 0.5000  6 Mg 2.71-2.85
Zr 0.0000 0.0000 0.0000  2 Zr 3.05, 4 Mg 3.13, 8 Ga 3.30
Mg 0.8745 0.6255 0.0000  6 Ga 2.71-2.85, 1 Mg 2.81
Mg 0.3745 0.8745 0.0000  6 Ga 2.71-2.85, 1 Mg 2.81
Mg 0.6255 0.1255 0.0000  6 Ga 2.71-2.85, 1 Mg 2.81

Properties
For the density, the calculation gives 4.8 g/cm³. Its symmetry is P4/mbm (127). The value obtained for the offset from the most stable computed form is 69 meV/atom. The energy of formation from the pure elements is -0.116 eV per atom. The density of states at the Fermi level is 4.254 states/eV/cell. The value obtained for the total energy is -3.675 eV/atom.

---

[7]
## MgZr2Ga9 (PBE)

Data for a relaxed MgZr2Ga9 crystal.

a = 4.1150 Å, b = 4.1150 Å, c = 12.6824 Å
α = 90.00°, β = 90.00°, γ = 90.00°
Closest atoms and distances in Å follow each position.
Fractional positions:
Zr 0.0000 0.0000 0.3405  12 Ga 2.89-3.02
Ga 0.0000 0.5000 0.1665  8 Ga 2.91-2.95, 2 Mg 2.95, 2 Zr 3.02
Ga 0.0000 0.5000 0.8335  8 Ga 2.91-2.95, 2 Mg 2.95, 2 Zr 3.02
Ga 0.5000 0.5000 0.0000  4 Mg 2.91, 8 Ga 2.95
Ga 0.5000 0.5000 0.3316  4 Zr 2.91, 8 Ga 2.94-2.97
Ga 0.5000 0.0000 0.8335  8 Ga 2.91-2.95, 2 Mg 2.95, 2 Zr 3.02
Ga 0.5000 0.0000 0.1665  8 Ga 2.91-2.95, 2 Mg 2.95, 2 Zr 3.02
Ga 0.0000 0.5000 0.5000  4 Zr 2.89, 8 Ga 2.91-2.97
Ga 0.5000 0.0000 0.5000  4 Zr 2.89, 8 Ga 2.91-2.97
Zr 0.0000 0.0000 0.6595  12 Ga 2.89-3.02
Ga 0.5000 0.5000 0.6684  4 Zr 2.91, 8 Ga 2.94-2.97
Mg 0.0000 0.0000 0.0000  12 Ga 2.91-2.95

Properties
For the density, the calculation gives 6.5 g/cm³. Its symmetry is P4/mmm (123). The energy of formation from the pure elements is -0.322 eV per atom. The density of states at the Fermi level is 4.119 states/eV/cell. The value obtained for the total energy is -4.150 eV/atom.

---

[8]
## MgZrGa2 (PBE)

Data for a relaxed MgZrGa2 crystal.

a = 7.3306 Å, b = 7.3306 Å, c = 5.9914 Å
α = 52.28°, β = 52.28°, γ = 90.00°
Closest atoms and distances in Å follow each position.
Fractional positions:
Ga 0.3750 0.3901 0.7500  2 Mg 2.62, 2 Zr 2.77
Zr 0.0000 0.0000 0.0000  4 Ga 2.77, 2 Mg 3.00
Zr 0.7500 0.2500 0.5000  4 Ga 2.77, 2 Mg 3.00
Ga 0.8750 0.8599 0.7500  2 Mg 2.62, 2 Zr 2.77
Ga 0.1401 0.6250 0.2500  2 Mg 2.62, 2 Zr 2.77
Mg 0.2500 0.7500 0.5000  4 Ga 2.62
Ga 0.6099 0.1250 0.2500  2 Mg 2.62, 2 Zr 2.77
Mg 0.5000 0.5000 0.0000  4 Ga 2.62

Properties
For the density, the calculation gives 5.2 g/cm³. Its symmetry is I-42d (122). The energy of formation from the pure elements is -0.075 eV per atom. The density of states at the Fermi level is 2.322 states/eV/cell. The value obtained for the total energy is -4.124 eV/atom.

---

[9]
## Mg2Zr2Ga (PBE)

Data for a relaxed Mg2Zr2Ga crystal.

a = 6.8233 Å, b = 6.8233 Å, c = 4.5342 Å
α = 90.00°, β = 90.00°, γ = 90.00°
Closest atoms and distances in Å follow each position.
Fractional positions:
Mg 0.3600 0.8600 0.0000  2 Ga 2.64, 1 Mg 2.70
Zr 0.1625 0.6625 0.5000  6 Mg 2.96-3.07, 1 Zr 3.14
Zr 0.8375 0.3375 0.5000  6 Mg 2.96-3.07, 1 Zr 3.14
Ga 0.5000 0.5000 0.0000  4 Mg 2.64
Mg 0.8600 0.6400 0.0000  2 Ga 2.64, 1 Mg 2.70
Zr 0.6625 0.8375 0.5000  6 Mg 2.96-3.07, 1 Zr 3.14
Mg 0.6400 0.1400 0.0000  2 Ga 2.64, 1 Mg 2.70
Zr 0.3375 0.1625 0.5000  6 Mg 2.96-3.07, 1 Zr 3.14
Ga 0.0000 0.0000 0.0000  4 Mg 2.64
Mg 0.1400 0.3600 0.0000  2 Ga 2.64, 1 Mg 2.70

Properties
For the density, the calculation gives 4.7 g/cm³. Its symmetry is P4/mbm (127). The energy of formation from the pure elements is 0.049 eV per atom. The density of states at the Fermi level is 5.215 states/eV/cell. The value obtained for the total energy is -4.614 eV/atom.

---

[10]
## MgZrGa2 (PBE)

Data for a relaxed MgZrGa2 crystal.

a = 4.3277 Å, b = 4.3277 Å, c = 5.3683 Å
α = 66.23°, β = 66.23°, γ = 60.00°
Closest atoms and distances in Å follow each position.
Fractional positions:
Zr 0.5000 0.5000 0.5000  6 Ga 2.88
Ga 0.2673 0.2673 0.1980  3 Mg 2.67, 3 Zr 2.88
Ga 0.7327 0.7327 0.8020  3 Mg 2.67, 3 Zr 2.88
Mg 0.0000 0.0000 0.0000  6 Ga 2.67

Properties
For the density, the calculation gives 5.5 g/cm³. Its symmetry is R-3m (166). The energy of formation from the pure elements is -0.227 eV per atom. The density of states at the Fermi level is 1.452 states/eV/cell. The value obtained for the total energy is -4.276 eV/atom.

---

[11]
## MgZrGa2 (PBE)

Data for a relaxed MgZrGa2 crystal.

a = 4.0101 Å, b = 4.2648 Å, c = 4.2648 Å
α = 90.00°, β = 90.00°, γ = 90.00°
Closest atoms and distances in Å follow each position.
Fractional positions:
Zr 0.5000 0.5000 0.5000  8 Ga 2.93, 4 Mg 3.02
Mg 0.5000 0.0000 0.0000  8 Ga 2.93, 4 Zr 3.02
Ga 0.0000 0.0000 0.5000  4 Zr 2.93, 4 Mg 2.93, 4 Ga 3.02
Ga 0.0000 0.5000 0.0000  4 Mg 2.93, 4 Zr 2.93, 4 Ga 3.02

Properties
For the density, the calculation gives 5.8 g/cm³. Its symmetry is P4/mmm (123). The energy of formation from the pure elements is -0.441 eV per atom. The density of states at the Fermi level is 1.389 states/eV/cell. The value obtained for the total energy is -4.490 eV/atom.

---

[12]
## MnGa3 (PBE)

Data for a relaxed MnGa3 crystal.

a = 6.2420 Å, b = 6.2420 Å, c = 6.8299 Å
α = 90.00°, β = 90.00°, γ = 90.00°
Closest atoms and distances in Å follow each position.
Fractional positions:
Ga 0.6648 0.3352 0.2439  3 Mn 2.45-2.54
Mn 0.1410 0.8590 0.5000  8 Ga 2.41-2.54, 1 Mn 2.49
Ga 0.0000 0.5000 0.0000  2 Mn 2.41
Mn 0.3590 0.3590 0.0000  8 Ga 2.41-2.54, 1 Mn 2.49
Ga 0.8352 0.8352 0.2561  3 Mn 2.45-2.54
Ga 0.5000 0.0000 0.5000  2 Mn 2.41
Ga 0.3352 0.6648 0.7561  3 Mn 2.45-2.54
Mn 0.6410 0.6410 0.0000  8 Ga 2.41-2.54, 1 Mn 2.49
Mn 0.8590 0.1410 0.5000  8 Ga 2.41-2.54, 1 Mn 2.49
Ga 0.1648 0.1648 0.7439  3 Mn 2.45-2.54
Ga 0.6648 0.3352 0.7561  3 Mn 2.45-2.54
Ga 0.8352 0.8352 0.7439  3 Mn 2.45-2.54
Ga 0.0000 0.5000 0.5000  2 Mn 2.41
Ga 0.5000 0.0000 0.0000  2 Mn 2.41
Ga 0.3352 0.6648 0.2439  3 Mn 2.45-2.54
Ga 0.1648 0.1648 0.2561  3 Mn 2.45-2.54

Properties
For the density, the calculation gives 6.6 g/cm³. Its symmetry is P4_2/mnm (136). The energy of formation from the pure elements is -0.166 eV per atom. The density of states at the Fermi level is 1.824 states/eV/cell. The value obtained for the total energy is -4.728 eV/atom.

---

Q: energy of formation from the pure elements of number 9 (Mg2Zr2Ga)?
A: 0.049 eV per atom

---

Q: What is the energy of formation from the pure elements in the tenth record?
A: -0.227 eV per atom

---

Q: The highest density belongs to which entry?
A: MnGa3

---

Copy entry 4 word for word.
## Mg2ZrGa2 (PBE)

Data for a relaxed Mg2ZrGa2 crystal.

a = 7.7871 Å, b = 7.7871 Å, c = 3.2208 Å
α = 90.00°, β = 90.00°, γ = 90.00°
Closest atoms and distances in Å follow each position.
Fractional positions:
Ga 0.8572 0.6428 0.0000  6 Mg 2.73-2.84, 2 Zr 3.00
Ga 0.1428 0.3572 0.0000  6 Mg 2.73-2.84, 2 Zr 3.00
Mg 0.1571 0.6571 0.5000  6 Ga 2.73-2.84
Mg 0.6571 0.8429 0.5000  6 Ga 2.73-2.84
Mg 0.8429 0.3429 0.5000  6 Ga 2.73-2.84
Zr 0.5000 0.5000 0.0000  4 Ga 3.00, 2 Zr 3.22, 8 Mg 3.35
Mg 0.3429 0.1571 0.5000  6 Ga 2.73-2.84
Ga 0.6428 0.1428 0.0000  6 Mg 2.73-2.84, 2 Zr 3.00
Ga 0.3572 0.8572 0.0000  6 Mg 2.73-2.84, 2 Zr 3.00
Zr 0.0000 0.0000 0.0000  4 Ga 3.00, 2 Zr 3.22, 8 Mg 3.35

Properties
For the density, the calculation gives 4.7 g/cm³. Its symmetry is P4/mbm (127). The value obtained for the offset from the most stable computed form is 0 meV/atom. The energy of formation from the pure elements is -0.185 eV per atom. The density of states at the Fermi level is 3.712 states/eV/cell. The value obtained for the total energy is -3.743 eV/atom.